a.
Here is a relaxed structure of CaMnRu from the Alexandria database. Energies are from PBE-GGA.

Properties
crystal system: tetragonal

```
data_CaMnRu
_chemical_formula_sum 'Ca2 Mn2 Ru2'
_symmetry_space_group_name_H-M 'I 4 m m'
_symmetry_Int_Tables_number 107
_symmetry_space_group_name_Hall 'I 4 -2'
_cell_length_a 3.260
_cell_length_b 3.260
_cell_length_c 10.849
_cell_angle_alpha 90.00
_cell_angle_beta 90.00
_cell_angle_gamma 90.00
loop_
_atom_site_label
_atom_site_fract_x
_atom_site_fract_y
_atom_site_fract_z
Ca1 0.000 0.000 0.000
Mn1 0.000 0.000 0.713
Ru1 0.000 0.000 0.305
```

b.
Here is a relaxed structure of CaMnRu from the Alexandria database. Energies are from PBE-GGA.

Properties
crystal system: cubic

```
data_CaMnRu
_chemical_formula_sum 'Ca4 Mn4 Ru4'
_symmetry_space_group_name_H-M 'F -4 3 m'
_symmetry_Int_Tables_number 216
_symmetry_space_group_name_Hall 'F -4 2 3'
_cell_length_a 6.410
_cell_length_b 6.410
_cell_length_c 6.410
_cell_angle_alpha 90.00
_cell_angle_beta 90.00
_cell_angle_gamma 90.00
loop_
_atom_site_label
_atom_site_fract_x
_atom_site_fract_y
_atom_site_fract_z
Ca1 0.000 0.000 0.000
Mn1 0.250 0.250 0.250
Ru1 0.250 0.250 0.750
```

c.
Here is a relaxed structure of CaMnRu from the Alexandria database. Energies are from PBE-GGA.

Properties
crystal system: cubic

```
data_CaMnRu
_chemical_formula_sum 'Ca4 Mn4 Ru4'
_symmetry_space_group_name_H-M 'F -4 3 m'
_symmetry_Int_Tables_number 216
_symmetry_space_group_name_Hall 'F -4 2 3'
_cell_length_a 6.325
_cell_length_b 6.325
_cell_length_c 6.325
_cell_angle_alpha 90.00
_cell_angle_beta 90.00
_cell_angle_gamma 90.00
loop_
_atom_site_label
_atom_site_fract_x
_atom_site_fract_y
_atom_site_fract_z
Ca1 0.000 0.000 0.000
Mn1 0.000 0.000 0.500
Ru1 0.250 0.250 0.750
```

d.
Here is a relaxed structure of CaMnRu from the Alexandria database. Energies are from PBE-GGA.

Properties
crystal system: orthorhombic

```
data_CaMnRu
_chemical_formula_sum 'Ca8 Mn8 Ru8'
_symmetry_space_group_name_H-M 'C m c e'
_symmetry_Int_Tables_number 64
_symmetry_space_group_name_Hall '-C 2ac 2'
_cell_length_a 5.743
_cell_length_b 14.797
_cell_length_c 5.741
_cell_angle_alpha 90.00
_cell_angle_beta 90.00
_cell_angle_gamma 90.00
loop_
_atom_site_label
_atom_site_fract_x
_atom_site_fract_y
_atom_site_fract_z
Ca1 0.000 0.169 0.001
Mn1 0.250 0.000 0.250
Ru1 0.000 0.102 0.501
```

What should be chosen as the least stable of them? Choose b.

a.
Here is a relaxed structure of CaMn2Ru2 from the Alexandria database. Energies are from PBE-GGA.

Properties
crystal system: tetragonal

```
data_CaMn2Ru2
_chemical_formula_sum 'Ca2 Mn4 Ru4'
_symmetry_space_group_name_H-M 'P 4/m b m'
_symmetry_Int_Tables_number 127
_symmetry_space_group_name_Hall '-P 4 2ab'
_cell_length_a 7.541
_cell_length_b 7.541
_cell_length_c 2.829
_cell_angle_alpha 90.00
_cell_angle_beta 90.00
_cell_angle_gamma 90.00
loop_
_atom_site_label
_atom_site_fract_x
_atom_site_fract_y
_atom_site_fract_z
Ca1 0.000 0.000 0.000
Mn1 0.154 0.346 0.500
Ru1 0.136 0.636 0.000
```

b.
Here is a relaxed structure of CaMn2Ru2 from the Alexandria database. Energies are from PBE-GGA.

Properties
crystal system: tetragonal

```
data_CaMn2Ru2
_chemical_formula_sum 'Ca2 Mn4 Ru4'
_symmetry_space_group_name_H-M 'P 4/m b m'
_symmetry_Int_Tables_number 127
_symmetry_space_group_name_Hall '-P 4 2ab'
_cell_length_a 7.450
_cell_length_b 7.450
_cell_length_c 2.699
_cell_angle_alpha 90.00
_cell_angle_beta 90.00
_cell_angle_gamma 90.00
loop_
_atom_site_label
_atom_site_fract_x
_atom_site_fract_y
_atom_site_fract_z
Ca1 0.000 0.000 0.000
Mn1 0.112 0.388 0.000
Ru1 0.169 0.669 0.500
```

c.
Here is a relaxed structure of CaMn2Ru2 from the Alexandria database. Energies are from PBE-GGA.

Properties
crystal system: tetragonal

```
data_CaMn2Ru2
_chemical_formula_sum 'Ca2 Mn4 Ru4'
_symmetry_space_group_name_H-M 'I 4/m m m'
_symmetry_Int_Tables_number 139
_symmetry_space_group_name_Hall '-I 4 2'
_cell_length_a 4.066
_cell_length_b 4.066
_cell_length_c 10.664
_cell_angle_alpha 90.00
_cell_angle_beta 90.00
_cell_angle_gamma 90.00
loop_
_atom_site_label
_atom_site_fract_x
_atom_site_fract_y
_atom_site_fract_z
Ca1 0.000 0.000 0.000
Mn1 0.000 0.500 0.250
Ru1 0.000 0.000 0.387
```

What should be chosen as the least stable of them? Choose a.

a.
Here is a relaxed structure of Ca3MnRu from the Alexandria database. Energies are from PBE-GGA.

Properties
crystal system: cubic

```
data_Ca3MnRu
_chemical_formula_sum 'Ca3 Mn1 Ru1'
_symmetry_space_group_name_H-M 'P m -3 m'
_symmetry_Int_Tables_number 221
_symmetry_space_group_name_Hall '-P 4 2 3'
_cell_length_a 5.133
_cell_length_b 5.133
_cell_length_c 5.133
_cell_angle_alpha 90.00
_cell_angle_beta 90.00
_cell_angle_gamma 90.00
loop_
_atom_site_label
_atom_site_fract_x
_atom_site_fract_y
_atom_site_fract_z
Ca1 0.000 0.000 0.500
Mn1 0.000 0.000 0.000
Ru1 0.500 0.500 0.500
```

b.
Here is a relaxed structure of Ca3MnRu from the Alexandria database. Energies are from PBE-GGA.

Properties
crystal system: cubic

```
data_Ca3MnRu
_chemical_formula_sum 'Ca3 Mn1 Ru1'
_symmetry_space_group_name_H-M 'P m -3 m'
_symmetry_Int_Tables_number 221
_symmetry_space_group_name_Hall '-P 4 2 3'
_cell_length_a 5.327
_cell_length_b 5.327
_cell_length_c 5.327
_cell_angle_alpha 90.00
_cell_angle_beta 90.00
_cell_angle_gamma 90.00
loop_
_atom_site_label
_atom_site_fract_x
_atom_site_fract_y
_atom_site_fract_z
Ca1 0.000 0.000 0.500
Mn1 0.500 0.500 0.500
Ru1 0.000 0.000 0.000
```

What should be chosen as the least stable of them? Choose a.

a.
Here is a relaxed structure of CaMnS2 from the Alexandria database. Energies are from PBE-GGA.

Properties
crystal system: trigonal

```
data_CaMnS2
_chemical_formula_sum 'Ca3 Mn3 S6'
_symmetry_space_group_name_H-M 'R -3 m'
_symmetry_Int_Tables_number 166
_symmetry_space_group_name_Hall '-R 3 2"'
_cell_length_a 3.8717
_cell_length_b 3.8717
_cell_length_c 18.7072
_cell_angle_alpha 90.00
_cell_angle_beta 90.00
_cell_angle_gamma 120.00
loop_
_atom_site_label
_atom_site_fract_x
_atom_site_fract_y
_atom_site_fract_z
Ca1 0.0000 0.0000 0.0000
Mn1 0.0000 0.0000 0.5000
S1 0.0000 0.0000 0.2420
```

b.
Here is a relaxed structure of CaMnS2 from the Alexandria database. Energies are from PBE-GGA.

Properties
crystal system: cubic

```
data_CaMnS2
_chemical_formula_sum 'Ca4 Mn4 S8'
_symmetry_space_group_name_H-M 'F m -3 m'
_symmetry_Int_Tables_number 225
_symmetry_space_group_name_Hall '-F 4 2 3'
_cell_length_a 6.362
_cell_length_b 6.362
_cell_length_c 6.362
_cell_angle_alpha 90.00
_cell_angle_beta 90.00
_cell_angle_gamma 90.00
loop_
_atom_site_label
_atom_site_fract_x
_atom_site_fract_y
_atom_site_fract_z
Ca1 0.000 0.000 0.000
Mn1 0.000 0.000 0.500
S1 0.250 0.250 0.250
```

What should be chosen as the least stable of them? Choose b.

a.
Here is a relaxed structure of CaMnS2 from the Alexandria database. Energies are from PBE-GGA.

Properties
crystal system: tetragonal

```
data_CaMnS2
_chemical_formula_sum 'Ca4 Mn4 S8'
_symmetry_space_group_name_H-M 'I -4 2 d'
_symmetry_Int_Tables_number 122
_symmetry_space_group_name_Hall 'I -4 2bw'
_cell_length_a 5.614
_cell_length_b 5.614
_cell_length_c 11.084
_cell_angle_alpha 90.00
_cell_angle_beta 90.00
_cell_angle_gamma 90.00
loop_
_atom_site_label
_atom_site_fract_x
_atom_site_fract_y
_atom_site_fract_z
Ca1 0.000 0.000 0.000
Mn1 0.000 0.000 0.500
S1 0.165 0.250 0.625
```

b.
Here is a relaxed structure of CaMnS2 from the Alexandria database. Energies are from PBE-GGA.

Properties
crystal system: trigonal

```
data_CaMnS2
_chemical_formula_sum 'Ca3 Mn3 S6'
_symmetry_space_group_name_H-M 'R -3 m'
_symmetry_Int_Tables_number 166
_symmetry_space_group_name_Hall '-R 3 2"'
_cell_length_a 4.1972
_cell_length_b 4.1972
_cell_length_c 21.9722
_cell_angle_alpha 90.00
_cell_angle_beta 90.00
_cell_angle_gamma 120.00
loop_
_atom_site_label
_atom_site_fract_x
_atom_site_fract_y
_atom_site_fract_z
Ca1 0.0000 0.0000 0.0000
Mn1 0.0000 0.0000 0.5000
S1 0.0000 0.0000 0.3997
```

c.
Here is a relaxed structure of CaMnS2 from the Alexandria database. Energies are from PBE-GGA.

Properties
crystal system: trigonal

```
data_CaMnS2
_chemical_formula_sum 'Ca3 Mn3 S6'
_symmetry_space_group_name_H-M 'R 3 m'
_symmetry_Int_Tables_number 160
_symmetry_space_group_name_Hall 'R 3 -2"'
_cell_length_a 3.6257
_cell_length_b 3.6257
_cell_length_c 18.0586
_cell_angle_alpha 90.00
_cell_angle_beta 90.00
_cell_angle_gamma 120.00
loop_
_atom_site_label
_atom_site_fract_x
_atom_site_fract_y
_atom_site_fract_z
Ca1 0.0000 0.0000 0.0000
Mn1 0.0000 0.0000 0.1790
S1 0.0000 0.0000 0.5669
S2 0.0000 0.0000 0.7730
```

What should be chosen as the least stable of them? Choose a.

a.
Here is a relaxed structure of Ca3MnS from the Alexandria database. Energies are from PBE-GGA.

Properties
crystal system: cubic

```
data_Ca3MnS
_chemical_formula_sum 'Ca3 Mn1 S1'
_symmetry_space_group_name_H-M 'P m -3 m'
_symmetry_Int_Tables_number 221
_symmetry_space_group_name_Hall '-P 4 2 3'
_cell_length_a 5.403
_cell_length_b 5.403
_cell_length_c 5.403
_cell_angle_alpha 90.00
_cell_angle_beta 90.00
_cell_angle_gamma 90.00
loop_
_atom_site_label
_atom_site_fract_x
_atom_site_fract_y
_atom_site_fract_z
Ca1 0.000 0.000 0.500
Mn1 0.500 0.500 0.500
S1 0.000 0.000 0.000
```

b.
Here is a relaxed structure of Ca3MnS from the Alexandria database. Energies are from PBE-GGA.

Properties
crystal system: cubic

```
data_Ca3MnS
_chemical_formula_sum 'Ca3 Mn1 S1'
_symmetry_space_group_name_H-M 'P m -3 m'
_symmetry_Int_Tables_number 221
_symmetry_space_group_name_Hall '-P 4 2 3'
_cell_length_a 5.280
_cell_length_b 5.280
_cell_length_c 5.280
_cell_angle_alpha 90.00
_cell_angle_beta 90.00
_cell_angle_gamma 90.00
loop_
_atom_site_label
_atom_site_fract_x
_atom_site_fract_y
_atom_site_fract_z
Ca1 0.000 0.000 0.500
Mn1 0.000 0.000 0.000
S1 0.500 0.500 0.500
```

What should be chosen as the least stable of them? Choose b.

a.
Here is a relaxed structure of Ca3MnSb from the Alexandria database. Energies are from PBE-GGA.

Properties
crystal system: cubic

```
data_Ca3MnSb
_chemical_formula_sum 'Ca3 Mn1 Sb1'
_symmetry_space_group_name_H-M 'P m -3 m'
_symmetry_Int_Tables_number 221
_symmetry_space_group_name_Hall '-P 4 2 3'
_cell_length_a 5.896
_cell_length_b 5.896
_cell_length_c 5.896
_cell_angle_alpha 90.00
_cell_angle_beta 90.00
_cell_angle_gamma 90.00
loop_
_atom_site_label
_atom_site_fract_x
_atom_site_fract_y
_atom_site_fract_z
Ca1 0.000 0.000 0.500
Mn1 0.500 0.500 0.500
Sb1 0.000 0.000 0.000
```

b.
Here is a relaxed structure of Ca3MnSb from the Alexandria database. Energies are from PBE-GGA.

Properties
crystal system: cubic

```
data_Ca3MnSb
_chemical_formula_sum 'Ca3 Mn1 Sb1'
_symmetry_space_group_name_H-M 'P m -3 m'
_symmetry_Int_Tables_number 221
_symmetry_space_group_name_Hall '-P 4 2 3'
_cell_length_a 5.356
_cell_length_b 5.356
_cell_length_c 5.356
_cell_angle_alpha 90.00
_cell_angle_beta 90.00
_cell_angle_gamma 90.00
loop_
_atom_site_label
_atom_site_fract_x
_atom_site_fract_y
_atom_site_fract_z
Ca1 0.000 0.000 0.500
Mn1 0.000 0.000 0.000
Sb1 0.500 0.500 0.500
```

What should be chosen as the least stable of them? Choose b.

a.
Here is a relaxed structure of CaMnSb3 from the Alexandria database. Energies are from PBE-GGA.

Properties
crystal system: cubic

```
data_CaMnSb3
_chemical_formula_sum 'Ca1 Mn1 Sb3'
_symmetry_space_group_name_H-M 'P m -3 m'
_symmetry_Int_Tables_number 221
_symmetry_space_group_name_Hall '-P 4 2 3'
_cell_length_a 5.085
_cell_length_b 5.085
_cell_length_c 5.085
_cell_angle_alpha 90.00
_cell_angle_beta 90.00
_cell_angle_gamma 90.00
loop_
_atom_site_label
_atom_site_fract_x
_atom_site_fract_y
_atom_site_fract_z
Ca1 0.000 0.000 0.000
Mn1 0.500 0.500 0.500
Sb1 0.000 0.500 0.500
```

b.
Here is a relaxed structure of CaMnSb3 from the Alexandria database. Energies are from PBE-GGA.

Properties
crystal system: orthorhombic

```
data_CaMnSb3
_chemical_formula_sum 'Ca4 Mn4 Sb12'
_symmetry_space_group_name_H-M 'P b c m'
_symmetry_Int_Tables_number 57
_cell_length_a 13.364
_cell_length_b 6.254
_cell_length_c 5.973
_cell_angle_alpha 90.00
_cell_angle_beta 90.00
_cell_angle_gamma 90.00
loop_
_symmetry_equiv_pos_as_xyz
'x,y,z'
'-x,-y,-z'
'-x,-y,z+1/2'
'x,y,-z+1/2'
'x,-y+1/2,-z'
'-x,y+1/2,z'
'-x,y+1/2,-z+1/2'
'x,-y+1/2,z+1/2'
loop_
_atom_site_label
_atom_site_fract_x
_atom_site_fract_y
_atom_site_fract_z
Ca1 0.190 0.003 0.250
Mn1 0.407 0.750 0.000
Sb1 0.002 0.750 0.000
Sb2 0.289 0.002 0.750
Sb3 0.436 0.106 0.250
```

What should be chosen as the least stable of them? Choose a.